Here is a relaxed Tb3Sm4Rh4 crystal from Alexandria via LeMat-Bulk. Energies are from PBE.

Properties
- E_form (eV/atom) = -0.5525

Geometry as CIF:
```
data_Tb3Sm4Rh4
_cell_length_a 3.7154
_cell_length_b 9.0044
_cell_length_c 16.2607
_cell_angle_alpha 90.00
_cell_angle_beta 90.00
_cell_angle_gamma 90.00
_space_group_name_H-M_alt 'I m m m'
_space_group_IT_number 71
_space_group_name_Hall '-I 2 2'
loop_
_atom_site_label
_atom_site_type_symbol
_atom_site_fract_x
_atom_site_fract_y
_atom_site_fract_z
_atom_site_occupancy
Tb1 Tb 0.0000 0.0000 0.0000 1
Tb2 Tb 0.0000 0.5000 0.1002 1
Sm1 Sm 0.0000 0.3136 0.3357 1
Rh1 Rh 0.0000 0.0000 0.2575 1
Rh2 Rh 0.0000 0.2162 0.5000 1
```